MoAuBr2 | GGA-PBE | optimized geometry

Energy above the lowest structure with this stoichiometry   1.46 eV/f.u.
Space-group type   P4/mmm, No. 123
Density of states at the Fermi level   3.25 states/eV/f.u.

```
MoAuBr2
1.0
3.094 0.000 0.000
0.000 3.094 0.000
0.000 0.000 9.524
Mo Au Br
1 1 2
Direct
0.000 0.000 0.000 Mo
0.000 0.000 0.500 Au
0.500 0.500 0.169 Br
0.500 0.500 0.831 Br
```

***

Na2Cu3Br8 | GGA-PBE | optimized geometry

DFT total energy   -2.77 eV per atom
Space-group type   C2/m, No. 12
Density of states at the Fermi level   12.07 states/eV/f.u.

```
Na2Cu3Br8
1.0
7.188 -3.938 0.000
7.188 3.938 0.000
-2.039 0.000 6.233
Na Cu Br
2 3 8
Direct
0.234 0.234 0.151 Na
0.766 0.766 0.849 Na
0.236 0.764 0.500 Cu
0.500 0.500 0.000 Cu
0.764 0.236 0.500 Cu
0.113 0.113 0.442 Br
0.162 0.627 0.115 Br
0.373 0.838 0.885 Br
0.396 0.396 0.613 Br
0.604 0.604 0.387 Br
0.627 0.162 0.115 Br
0.838 0.373 0.885 Br
0.887 0.887 0.558 Br
```

***

Please write out number 1 again, unchanged.
MoAuBr2 | GGA-PBE | optimized geometry

Energy above the lowest structure with this stoichiometry   1.46 eV/f.u.
Space-group type   P4/mmm, No. 123
Density of states at the Fermi level   3.25 states/eV/f.u.

```
MoAuBr2
1.0
3.094 0.000 0.000
0.000 3.094 0.000
0.000 0.000 9.524
Mo Au Br
1 1 2
Direct
0.000 0.000 0.000 Mo
0.000 0.000 0.500 Au
0.500 0.500 0.169 Br
0.500 0.500 0.831 Br
```

***

The lowest density of states at the Fermi level belongs to which entry? MoAuBr2